(1)
Th5Tl4Zn: relaxed, PBE.

Summary:
- symmetry = P4/mmm, No. 123
- ΔE_f (eV per atom) = -0.14

Cell: 3.5301 3.5301 22.7107 Å, 90.00 90.00 90.00°
Positions (direct):
Th 0.5000 0.5000 0.0876
Th 0.5000 0.5000 0.2944
Th 0.5000 0.5000 0.5000
Th 0.5000 0.5000 0.7056
Th 0.5000 0.5000 0.9124
Tl 0.0000 0.0000 0.1918
Tl 0.0000 0.0000 0.3972
Tl 0.0000 0.0000 0.6028
Tl 0.0000 0.0000 0.8082
Zn 0.0000 0.0000 0.0000

(2)
Mg15TlCd4: relaxed, PBE.

Summary:
- symmetry = P4/mmm, No. 123
- ΔE_f (eV per atom) = -0.07

Cell: 4.5605 4.5605 21.4671 Å, 90.00 90.00 90.00°
Positions (direct):
Mg 0.5000 0.5000 0.0000
Mg 0.5000 0.5000 0.2038
Mg 0.5000 0.5000 0.4015
Mg 0.5000 0.5000 0.5985
Mg 0.5000 0.5000 0.7962
Mg 0.5000 0.0000 0.1052
Mg 0.5000 0.0000 0.3026
Mg 0.5000 0.0000 0.5000
Mg 0.5000 0.0000 0.6974
Mg 0.5000 0.0000 0.8948
Mg 0.0000 0.5000 0.1052
Mg 0.0000 0.5000 0.3026
Mg 0.0000 0.5000 0.5000
Mg 0.0000 0.5000 0.6974
Mg 0.0000 0.5000 0.8948
Tl 0.0000 0.0000 0.0000
Cd 0.0000 0.0000 0.2036
Cd 0.0000 0.0000 0.4012
Cd 0.0000 0.0000 0.5988
Cd 0.0000 0.0000 0.7964

(3)
Ac2In6Pd3: relaxed, PBE.

Summary:
- symmetry = P-62m, No. 189
- ΔE_f (eV per atom) = -0.55

Cell: 4.5770 8.4356 8.4356 Å, 120.00 90.00 90.00°
Positions (direct):
Ac 0.0000 0.6667 0.3333
Ac 0.0000 0.3333 0.6667
In 0.5000 0.6961 0.6961
In 0.5000 0.0000 0.3039
In 0.0000 0.2030 0.2030
In 0.0000 0.7970 0.0000
In 0.5000 0.3039 0.0000
In 0.0000 0.0000 0.7970
Pd 0.5000 0.3741 0.3741
Pd 0.5000 0.6259 0.0000
Pd 0.5000 0.0000 0.6259

(4)
SiAs2Ru: relaxed, PBE.

Summary:
- symmetry = I-4m2, No. 119
- formation energy from raw total energies (meV per atom) = 340

Cell: 4.6514 4.6514 4.6514 Å, 126.48 126.48 79.09°
Positions (direct):
As 0.0000 0.0000 0.0000
As 0.2500 0.7500 0.5000
Ru 0.5000 0.5000 0.0000
Si 0.7500 0.2500 0.5000

(5)
La5PrHg2: relaxed, PBE.

Summary:
- symmetry = P6_3/mmc, No. 194
- ΔE_f (eV per atom) = -0.14

Cell: 5.6383 5.6383 20.4169 Å, 90.00 90.00 120.00°
Positions (direct):
La 0.0000 0.0000 0.3407
La 0.0000 0.0000 0.1593
La 0.6667 0.3333 0.2500
La 0.0000 0.0000 0.8407
La 0.6667 0.3333 0.0625
La 0.3333 0.6667 0.7500
La 0.3333 0.6667 0.9375
La 0.3333 0.6667 0.5625
La 0.6667 0.3333 0.4375
La 0.0000 0.0000 0.6593
Pr 0.3333 0.6667 0.2500
Pr 0.6667 0.3333 0.7500
Hg 0.6667 0.3333 0.5952
Hg 0.3333 0.6667 0.0952
Hg 0.3333 0.6667 0.4048
Hg 0.6667 0.3333 0.9048

(6)
KSc2Au: relaxed, PBE.

Summary:
- symmetry = R-3m, No. 166
- ΔE_f (eV per atom) = 0.01

Cell: 10.5566 10.5566 10.5566 Å, 20.62 20.62 20.62°
Positions (direct):
Au 0.2500 0.2500 0.2500
K 0.7500 0.7500 0.7500
Sc 0.9706 0.9706 0.9706
Sc 0.5294 0.5294 0.5294

(7)
K2BaH: relaxed, PBE.

Summary:
- symmetry = R-3m, No. 166

Cell: 4.1761 4.1761 11.8922 Å, 79.89 79.89 60.00°
Positions (direct):
H 0.5000 0.5000 0.5000
K 0.1192 0.1192 0.6423
K 0.8808 0.8808 0.3577
Ba 0.0000 0.0000 0.0000

(8)
YSc2I: relaxed, PBE.

Summary:
- symmetry = R-3m, No. 166
- formation energy from raw total energies (meV per atom) = -224

Cell: 3.6163 3.6163 10.1036 Å, 79.69 79.69 60.00°
Positions (direct):
I 0.0000 0.0000 0.0000
Y 0.5000 0.5000 0.5000
Sc 0.7446 0.7446 0.7662
Sc 0.2554 0.2554 0.2338

The records above yield energy values of -49.2 -31.3 -46.2 -22.6 -62.2 -17.0 -7.3 -21.6 eV for the cell shown, respectively.
The records above yield calculated volume values of 28.3 22.3 25.6 15.7 35.1 31.9 44.0 28.0 Å³/atom, respectively.